1.
The following is a DFT calculation (PBE-GGA) of crystalline PmTm6Tl5 at its relaxed geometry.

It has space group C2/m (No. 12), with a = 6.2080 Å, b = 10.7829 Å, c = 10.4595 Å, α = 90.00°, β = 101.65° and γ = 90.00°. Symmetry generates all atoms from Pm at (0.0000, 0.0000, 0.0000), Tm at (0.2417, 0.3275, 0.7410), Tm at (0.2416, 0.5000, 0.2591), Tl at (0.0000, 0.1646, 0.5000), Tl at (0.0000, 0.3332, 0.0000) and Tl at (0.0000, 0.5000, 0.5000).

The calculation puts the calculated volume at 685.7 Å³ per cell. The excess energy over the best structure of this formula in the dataset is 90.9 meV per atom. The calculation puts the density of states at the Fermi level at 25.28 states/eV/cell. For the formation energy, the calculation gives -1.82 eV per formula unit.

***

2.
The following is a DFT calculation (PBE-GGA) of crystalline GaNiSe3 at its relaxed geometry.

It has space group C2/m (No. 12), with a = 12.8782 Å, b = 3.6634 Å, c = 10.0400 Å, α = 90.00°, β = 94.65° and γ = 90.00°. Symmetry generates all atoms from Ga at (0.0576, 0.0000, 0.2850), Ni at (0.1579, 0.5000, 0.9169), Se at (0.1315, 0.0000, 0.7639), Se at (0.1359, 0.5000, 0.4040) and Se at (0.1485, 0.0000, 0.0617).

The calculation puts the calculated volume at 472.1 Å³ per cell. The excess energy over the best structure of this formula in the dataset is 0.0 meV per atom. The calculation puts the density of states at the Fermi level at 8.55 states/eV/cell. The energy relative to the elements, uncorrected comes out at -325 meV per atom.